An optimized crystal structure of TlRe2Ir, computed with PBE.

Symmetry = No. 47

Cell lengths 2.8033, 4.0556, 6.0512 Å; angles 90.00, 90.00, 90.00 degrees
Last column: nearest neighbours and their distance in Å.
Atoms (fractional coordinates):
Tl  0.0000  0.0000  0.0000  2 Tl 2.80, 2 Ir 3.03, 8 Re 3.06
Re  0.5000  0.5000  0.2984  1 Re 2.44
Re  0.5000  0.5000  0.7016  1 Re 2.44
Ir  0.0000  0.0000  0.5000  8 Re 2.75, 2 Ir 2.80, 2 Tl 3.03


An optimized crystal structure of TlRe2Ir, computed with PBE.

Symmetry = No. 69

Cell lengths 5.1030, 5.0789, 3.9136 Å; angles 67.72, 67.07, 45.21 degrees
Last column: nearest neighbours and their distance in Å.
Atoms (fractional coordinates):
Tl  0.0000  0.0000  0.0000  4 Ir 2.75-2.79, 8 Re 2.90
Re  0.2500  0.2500  0.2500  4 Re 2.75-2.79, 4 Tl 2.90, 4 Ir 2.90
Re  0.7500  0.7500  0.7500  4 Re 2.75-2.79, 4 Tl 2.90, 4 Ir 2.90
Ir  0.5000  0.5000  0.5000  4 Tl 2.75-2.79, 8 Re 2.90


An optimized crystal structure of TlRe2Ir, computed with PBE.

Symmetry = No. 123

Cell lengths 4.8189, 4.8189, 2.8604 Å; angles 90.00, 90.00, 90.00 degrees
Last column: nearest neighbours and their distance in Å.
Atoms (fractional coordinates):
Tl  0.0000  0.0000  0.0000  8 Re 2.80, 2 Tl 2.86
Re  0.0000  0.5000  0.5000  4 Tl 2.80, 4 Ir 2.80, 2 Re 2.86
Re  0.5000  0.0000  0.5000  4 Tl 2.80, 4 Ir 2.80, 2 Re 2.86
Ir  0.5000  0.5000  0.0000  8 Re 2.80, 2 Ir 2.86


Record order is preserved below.
E_tot: -8.37, -8.28, -8.03 eV/atom
Record order is preserved below.
Relative energy among the computed polymorphs: 256, 338, 588 meV per atom
Record order is preserved below.
Calculated formation energy: 0.665, 0.747, 0.997 eV/atom